# PBE+U Fe2RhO4, optimized geometry
# - E_tot: -91.870 eV for the cell shown
data_Fe2RhO4
_symmetry_space_group_name_H-M 'C m m m'
_symmetry_Int_Tables_number 65
_symmetry_space_group_name_Hall '-C 2 2'
_cell_length_a 6.016
_cell_length_b 8.324
_cell_length_c 3.127
_cell_angle_alpha 90.00
_cell_angle_beta 90.00
_cell_angle_gamma 90.00
loop_
_atom_site_label
_atom_site_fract_x
_atom_site_fract_y
_atom_site_fract_z
Fe1 0.250 0.250 0.000
Rh1 0.000 0.000 0.500
O1 0.000 0.248 0.500
O2 0.224 0.000 0.000